Entry 1:
Below is an optimized crystal structure of HfCuReB2, with properties calculated at the PBE level.

Computed properties:
DFT formation energy: 2263 meV per atom
calculated volume: 93 Å³/cell
calculated total energy: -5.707 eV per atom

Lattice parameters (Å, degrees): 4.330 4.330 4.977 90.00 90.00 90.00
Atoms (fractional coordinates):
Hf  0.000  0.000  0.000
Cu  0.500  0.500  0.500
Re  0.000  0.000  0.500
B  0.000  0.500  0.000
B  0.500  0.000  0.000

Entry 2:
Below is an optimized crystal structure of Hf2CuBRh, with properties calculated at the PBE level.

Computed properties:
DFT formation energy: 1137 meV per atom
calculated volume: 107 Å³/cell
calculated total energy: -6.469 eV per atom

Lattice parameters (Å, degrees): 4.848 4.848 4.554 90.00 90.00 90.00
Atoms (fractional coordinates):
Hf  0.000  0.500  0.000
Hf  0.500  0.000  0.000
Cu  0.000  0.000  0.500
B  0.500  0.500  0.500
Rh  0.000  0.000  0.000

Entry 3:
Below is an optimized crystal structure of HfCuBRu2, with properties calculated at the PBE level.

Computed properties:
DFT formation energy: -371 meV per atom
calculated volume: 68 Å³/cell
calculated total energy: -8.227 eV per atom

Lattice parameters (Å, degrees): 4.184 4.184 3.875 90.00 90.00 90.00
Atoms (fractional coordinates):
Hf  0.000  0.000  0.000
Cu  0.500  0.500  0.000
B  0.500  0.500  0.500
Ru  0.000  0.500  0.500
Ru  0.500  0.000  0.500

Entry 4:
Below is an optimized crystal structure of HfCuB2Ru, with properties calculated at the PBE level.

Computed properties:
DFT formation energy: 891 meV per atom
calculated volume: 69 Å³/cell
calculated total energy: -6.445 eV per atom

Lattice parameters (Å, degrees): 3.772 3.772 4.831 90.00 90.00 90.00
Atoms (fractional coordinates):
Hf  0.000  0.000  0.000
Cu  0.500  0.500  0.500
B  0.000  0.500  0.500
B  0.500  0.000  0.500
Ru  0.500  0.500  0.000